{
  "formula": "BaOsC2",
  "functional": "PBE",
  "state": "relaxed",
  "lattice_angstrom": [[5.222, 0.000, 0.000], [0.000, 5.222, 0.000], [0.000, 0.000, 11.190]],
  "species": ["Ba", "Ba", "Ba", "Ba", "Os", "Os", "Os", "Os", "C", "C", "C", "C", "C", "C", "C", "C"],
  "fractional_positions": [[0.000, 0.250, 0.375], [0.000, 0.750, 0.625], [0.500, 0.250, 0.125], [0.500, 0.750, 0.875], [0.000, 0.250, 0.875], [0.000, 0.750, 0.125], [0.500, 0.250, 0.625], [0.500, 0.750, 0.375], [0.000, 0.000, 0.000], [0.000, 0.500, 0.000], [0.250, 0.250, 0.750], [0.250, 0.750, 0.250], [0.500, 0.000, 0.500], [0.500, 0.500, 0.500], [0.750, 0.250, 0.750], [0.750, 0.750, 0.250]],
  "e_form_kj_per_mol_fu": 97,
  "e_above_lowest_polymorph_ev_per_atom": 0.000,
  "space_group": "I4_1/amd",
  "magnetic_moment_mub_per_fu": 0.0,
  "energy_ev_per_atom": -7.65
}